Material: NaTaPb2Br
Method: DFT, GGA-PBE
State: relaxed

CIF file:
```
data_NaTaPb2Br
_cell_length_a 5.4759
_cell_length_b 5.4759
_cell_length_c 5.3350
_cell_angle_alpha 90.00
_cell_angle_beta 90.00
_cell_angle_gamma 90.00
_space_group_name_H-M_alt 'P 4/m m m'
_space_group_IT_number 123
_space_group_name_Hall '-P 4 2'
loop_
_atom_site_label
_atom_site_type_symbol
_atom_site_fract_x
_atom_site_fract_y
_atom_site_fract_z
Na1 Na 0.0000 0.0000 0.0000
Ta1 Ta 0.0000 0.0000 0.5000
Pb1 Pb 0.0000 0.5000 0.0000
Br1 Br 0.5000 0.5000 0.5000
```

Total energy ... -3.0819 eV per atom
Total magnetic moment ... 2.2 μB/f.u.
Formation energy from raw total energies ... 1370.3 meV/atom
Theoretical density ... 7.25 Mg/m³